A relaxed La2GeAsN crystal, computed with PBE.

```
data_La2GeAsN
_space_group_name_H-M_alt 'P 1'
_space_group_IT_number 1
_cell_length_a 5.148
_cell_length_b 5.148
_cell_length_c 4.173
_cell_angle_alpha 90.00
_cell_angle_beta 90.00
_cell_angle_gamma 90.00
loop_
_space_group_symop_operation_xyz
'x,y,z'
loop_
_atom_site_label
_atom_site_type_symbol
_atom_site_fract_x
_atom_site_fract_y
_atom_site_fract_z
_atom_site_occupancy
La1 La 0.000 0.500 0.000 1
La2 La 0.500 0.000 0.000 1
Ge1 Ge 0.000 0.000 0.500 1
As1 As 0.500 0.500 0.500 1
N1 N 0.000 0.000 0.000 1
```

Computed properties:
Crystal system ... tetragonal
Symmetry ... P4/mmm (123)
Raw formation energy ... -0.8354 eV per atom
Total moment ... 0.00 μB per atom



A relaxed La2Ni4GeAs3 crystal, computed with PBE.

```
data_La2Ni4GeAs3
_space_group_name_H-M_alt 'P 1'
_space_group_IT_number 1
_cell_length_a 4.216
_cell_length_b 4.216
_cell_length_c 9.698
_cell_angle_alpha 90.00
_cell_angle_beta 90.00
_cell_angle_gamma 90.00
loop_
_space_group_symop_operation_xyz
'x,y,z'
loop_
_atom_site_label
_atom_site_type_symbol
_atom_site_fract_x
_atom_site_fract_y
_atom_site_fract_z
_atom_site_occupancy
La1 La 0.000 0.500 0.246 1
La2 La 0.500 0.000 0.754 1
Ni1 Ni 0.000 0.000 0.000 1
Ni2 Ni 0.000 0.500 0.622 1
Ni3 Ni 0.500 0.000 0.378 1
Ni4 Ni 0.500 0.500 0.000 1
Ge1 Ge 0.000 0.000 0.500 1
As1 As 0.000 0.500 0.871 1
As2 As 0.500 0.000 0.129 1
As3 As 0.500 0.500 0.500 1
```

Computed properties:
Formation energy from the elements ... -0.85 eV/atom
Crystal system ... tetragonal
Symmetry ... P-4m2 (115)
Total moment ... 0.00 μB per atom



A relaxed La2GeAs3Pd4 crystal, computed with PBE.

```
data_La2GeAs3Pd4
_space_group_name_H-M_alt 'P 1'
_space_group_IT_number 1
_cell_length_a 4.392
_cell_length_b 4.392
_cell_length_c 10.311
_cell_angle_alpha 90.00
_cell_angle_beta 90.00
_cell_angle_gamma 90.00
loop_
_space_group_symop_operation_xyz
'x,y,z'
loop_
_atom_site_label
_atom_site_type_symbol
_atom_site_fract_x
_atom_site_fract_y
_atom_site_fract_z
_atom_site_occupancy
La1 La 0.000 0.500 0.247 1
La2 La 0.500 0.000 0.753 1
Ge1 Ge 0.000 0.000 0.500 1
As1 As 0.000 0.500 0.866 1
As2 As 0.500 0.000 0.134 1
As3 As 0.500 0.500 0.500 1
Pd1 Pd 0.000 0.000 0.000 1
Pd2 Pd 0.000 0.500 0.625 1
Pd3 Pd 0.500 0.000 0.375 1
Pd4 Pd 0.500 0.500 0.000 1
```

Computed properties:
Formation energy from the elements ... -0.93 eV/atom
Crystal system ... tetragonal
Symmetry ... P-4m2 (115)
Total moment ... 0.00 μB per atom



A relaxed La2GeAsPd6 crystal, computed with PBE.

```
data_La2GeAsPd6
_space_group_name_H-M_alt 'P 1'
_space_group_IT_number 1
_cell_length_a 5.494
_cell_length_b 6.670
_cell_length_c 6.699
_cell_angle_alpha 82.62
_cell_angle_beta 65.85
_cell_angle_gamma 65.81
loop_
_space_group_symop_operation_xyz
'x,y,z'
loop_
_atom_site_label
_atom_site_type_symbol
_atom_site_fract_x
_atom_site_fract_y
_atom_site_fract_z
_atom_site_occupancy
La1 La 0.024 0.227 0.222 1
La2 La 0.976 0.773 0.778 1
Ge1 Ge 0.500 0.000 0.500 1
As1 As 0.500 0.500 0.000 1
Pd1 Pd 0.002 0.232 0.762 1
Pd2 Pd 0.346 0.402 0.404 1
Pd3 Pd 0.496 0.768 0.238 1
Pd4 Pd 0.504 0.232 0.762 1
Pd5 Pd 0.654 0.598 0.596 1
Pd6 Pd 0.998 0.768 0.238 1
```

Computed properties:
Formation energy from the elements ... -0.74 eV/atom
Crystal system ... triclinic
Symmetry ... P-1 (2)
Total moment ... 0.00 μB per atom



- total moment of number 4 (La2GeAsPd6)?
  0.00 μB per atom